Entry 1:
This record from the Alexandria database describes a relaxed structure of KLaZr2Zn. The functional is PBE.

Unit cell a=5.0975 b=5.3659 c=5.0975 alpha=90.00 beta=90.00 gamma=90.00
Closest atoms and distances in Å follow each position.
Fractional positions:
La 0.0000 0.5000 0.0000  2 K 2.68
Zr 0.0000 0.0000 0.5000  2 K 2.55
Zr 0.5000 0.0000 0.0000  2 K 2.55
Zn 0.5000 0.5000 0.5000  4 La 3.60, 8 Zr 3.70
K 0.0000 0.0000 0.0000  4 Zr 2.55, 2 La 2.68

Size of the total moment = 0.00 μB/f.u.
ΔH_f (0 K) = 163.9 kJ per mole of atoms


Entry 2:
This record from the Alexandria database describes a relaxed structure of KLa2ZrZn. The functional is PBE.

Unit cell a=5.8617 b=5.3775 c=5.8617 alpha=90.00 beta=90.00 gamma=90.00
Closest atoms and distances in Å follow each position.
Fractional positions:
K 0.5000 0.5000 0.5000  8 La 3.98, 4 Zr 4.14
La 0.5000 0.0000 0.0000  2 Zn 2.93
La 0.0000 0.0000 0.5000  2 Zn 2.93
Zn 0.0000 0.0000 0.0000  2 Zr 2.69, 4 La 2.93
Zr 0.0000 0.5000 0.0000  2 Zn 2.69

Size of the total moment = 1.16 μB/f.u.
ΔH_f (0 K) = 49.7 kJ per mole of atoms


Entry 3:
This record from the Alexandria database describes a relaxed structure of KLa2Zr. The functional is PBE.

Unit cell a=6.2547 b=6.2547 c=3.5674 alpha=89.95 beta=89.95 gamma=101.86
Closest atoms and distances in Å follow each position.
Fractional positions:
Zr 0.5000 0.0000 0.5000  2 Zr 3.57, 8 La 3.60, 2 K 3.94
La 0.0000 0.0000 0.0000  4 La 3.57-3.94, 4 K 3.60, 4 Zr 3.60
La 0.5000 0.5000 0.0000  4 La 3.57-3.94, 4 Zr 3.60, 4 K 3.60
K 0.0000 0.5000 0.5000  2 K 3.57, 8 La 3.60, 2 Zr 3.94

Size of the total moment = 0.00 μB/f.u.
ΔE to the lowest computed polymorph = 316.2 meV/atom
ΔH_f (0 K) = 55.8 kJ per mole of atoms


Entry 4:
This record from the Alexandria database describes a relaxed structure of K2LaZr. The functional is PBE.

Unit cell a=6.1716 b=6.1716 c=6.1716 alpha=120.12 beta=120.12 gamma=89.80
Closest atoms and distances in Å follow each position.
Fractional positions:
K 0.0000 0.0000 0.0000  4 K 3.78, 4 Zr 3.78
K 0.2500 0.7500 0.5000  4 La 3.78, 4 K 3.78
La 0.5000 0.5000 0.0000  4 Zr 3.78, 4 K 3.78
Zr 0.7500 0.2500 0.5000  4 La 3.78, 4 K 3.78

Size of the total moment = 4.61 μB/f.u.
ΔE to the lowest computed polymorph = 535.7 meV/atom
ΔH_f (0 K) = 90.2 kJ per mole of atoms


Entry 5:
This record from the Alexandria database describes a relaxed structure of KLaZr. The functional is PBE.

Unit cell a=6.0520 b=6.0520 c=3.1488 alpha=90.00 beta=90.00 gamma=120.00
Closest atoms and distances in Å follow each position.
Fractional positions:
Zr 0.3333 0.6667 0.6688  2 Zr 3.15
K 0.0000 0.0000 0.1623  2 K 3.15, 3 La 3.49
La 0.6667 0.3333 0.1689  2 La 3.15, 3 K 3.49

Size of the total moment = 0.96 μB/f.u.
ΔE to the lowest computed polymorph = 343.5 meV/atom
ΔH_f (0 K) = 75.3 kJ per mole of atoms


Entry 6:
This record from the Alexandria database describes a relaxed structure of K2LaZr. The functional is PBE.

Unit cell a=7.9571 b=7.9571 c=7.9571 alpha=155.59 beta=125.86 gamma=60.23
Closest atoms and distances in Å follow each position.
Fractional positions:
Zr 0.2764 0.7764 0.5000  2 La 3.01, 2 Zr 3.36
K 0.0207 0.0207 0.0000  2 K 3.36
K 0.7452 0.2452 0.5000  2 K 3.36
La 0.4577 0.4577 0.0000  2 Zr 3.01, 2 La 3.36

Size of the total moment = 0.00 μB/f.u.
ΔE to the lowest computed polymorph = 331.1 meV/atom
ΔH_f (0 K) = 70.4 kJ per mole of atoms